Entry 1:
A plane-wave DFT calculation with PBE-GGA was carried out for crystalline Co2HgPb at its relaxed geometry.

Relative energy among the computed polymorphs in eV/atom: 0.2853

Unit cell a=5.274 b=5.274 c=5.274 alpha=136.36 beta=136.36 gamma=63.42
Last column: magnetic moment on the atom in μB.
Atoms (fractional coordinates):
Co 0.000 0.000 0.000  1.42
Hg 0.500 0.500 0.000  -0.03
Co 0.250 0.750 0.500  1.25
Pb 0.750 0.250 0.500  -0.03

Entry 2:
A plane-wave DFT calculation with PBE-GGA was carried out for crystalline PmSiNi3 at its relaxed geometry.

Energy relative to the elements, uncorrected in kJ per mole of atoms: -49
Relative energy among the computed polymorphs in eV/atom: 0.0000

Unit cell a=4.988 b=7.685 c=6.195 alpha=128.34 beta=113.74 gamma=90.00
Atoms (fractional coordinates):
Ni 0.731 0.231 0.961
Ni 0.269 0.769 0.039
Ni 0.231 0.231 0.961
Si 0.000 0.500 0.000
Si 0.500 0.000 0.000
Pm 0.750 0.705 0.500
Ni 0.250 0.899 0.500
Ni 0.769 0.769 0.039
Pm 0.250 0.295 0.500
Ni 0.750 0.101 0.500

Entry 3:
A plane-wave DFT calculation with PBE-GGA was carried out for crystalline Rb2AcZrSe4 at its relaxed geometry.

Energy relative to the elements, uncorrected in kJ per mole of atoms: -143

Unit cell a=4.258 b=7.491 c=8.420 alpha=106.63 beta=90.00 gamma=90.00
Atoms (fractional coordinates):
Ac 0.500 0.500 0.000
Rb 0.000 0.500 0.500
Zr 0.000 0.000 0.000
Se 0.000 0.234 0.795
Se 0.500 0.794 0.807
Rb 0.500 0.000 0.500
Se 0.500 0.206 0.193
Se 0.000 0.766 0.205